Record 1
This record from the Alexandria database describes an optimized crystal structure of ErHfZnIr. The functional is PBE.

Summary:
space-group type	F-43m, No. 216
ΔH_f (0 K)	-0.547	eV/atom

abc: 4.770 4.770 4.770
angles: 60.00 60.00 60.00
Sites, in units of the cell vectors:
1 Er 0.750 0.750 0.750
2 Hf 0.250 0.250 0.250
3 Ir 0.500 0.500 0.500
4 Zn 0.000 0.000 0.000

=====

Record 2
This record from the Alexandria database describes an optimized crystal structure of TlB. The functional is PBE.

Summary:
space-group type	P6_3/mmc, No. 194
energy relative to the lowest polymorph listed for this composition	0.9495	eV/atom
ΔH_f (0 K)	1.437	eV/atom

abc: 4.104 4.104 5.481
angles: 90.00 90.00 120.00
Sites, in units of the cell vectors:
1 Tl 0.333 0.667 0.750
2 Tl 0.667 0.333 0.250
3 B 0.333 0.667 0.250
4 B 0.667 0.333 0.750

=====

Record 3
This record from the Alexandria database describes an optimized crystal structure of RbMnAl3. The functional is PBE.

Summary:
space-group type	Pm-3m, No. 221
energy relative to the lowest polymorph listed for this composition	1.8239	eV/atom
ΔH_f (0 K)	2.004	eV/atom

abc: 5.777 5.777 5.777
angles: 90.00 90.00 90.00
Sites, in units of the cell vectors:
1 Al 0.000 0.000 0.500
2 Al 0.000 0.500 0.000
3 Al 0.500 0.000 0.000
4 Rb 0.000 0.000 0.000
5 Mn 0.500 0.500 0.500

=====

Record 4
This record from the Alexandria database describes an optimized crystal structure of Rb4Pt3. The functional is PBE.

Summary:
space-group type	P6/mmm, No. 191
energy relative to the lowest polymorph listed for this composition	0.0478	eV/atom
ΔH_f (0 K)	0.196	eV/atom

abc: 5.903 5.903 6.379
angles: 90.00 90.00 120.00
Sites, in units of the cell vectors:
1 Pt 0.500 0.500 0.000
2 Pt 0.000 0.500 0.000
3 Pt 0.500 0.000 0.000
4 Rb 0.667 0.333 0.500
5 Rb 0.000 0.000 0.240
6 Rb 0.000 0.000 0.760
7 Rb 0.333 0.667 0.500

=====

Record 5
This record from the Alexandria database describes an optimized crystal structure of MgScP2Cl. The functional is PBE.

Summary:
space-group type	P4/mmm, No. 123
E_form (uncorrected)	-0.279	eV per atom
energy relative to the lowest polymorph listed for this composition	0.0000	eV/atom

abc: 4.998 4.998 4.893
angles: 90.00 90.00 90.00
Sites, in units of the cell vectors:
1 Cl 0.000 0.000 0.500
2 Mg 0.500 0.500 0.500
3 P 0.500 0.000 0.000
4 P 0.000 0.500 0.000
5 Sc 0.000 0.000 0.000

=====

Record 6
This record from the Alexandria database describes an optimized crystal structure of V2OsPd2. The functional is PBE.

Summary:
space-group type	Cmmm, No. 65
ΔH_f (0 K)	0.419	eV/atom

abc: 4.383 4.383 4.791
angles: 90.01 90.01 118.59
Sites, in units of the cell vectors:
1 Os 0.000 0.000 0.000
2 Pd 0.168 0.832 0.500
3 Pd 0.832 0.168 0.500
4 V 0.500 0.500 0.751
5 V 0.500 0.500 0.249

=====

Record 7
This record from the Alexandria database describes an optimized crystal structure of Cu2Sn2Cl. The functional is PBE.

Summary:
space-group type	I4/mmm, No. 139
E_form (uncorrected)	0.003	eV per atom
energy relative to the lowest polymorph listed for this composition	0.0000	eV/atom

abc: 3.565 3.565 8.745
angles: 78.24 78.24 90.00
Sites, in units of the cell vectors:
1 Sn 0.624 0.624 0.751
2 Sn 0.376 0.376 0.249
3 Cl 0.000 0.000 0.000
4 Cu 0.250 0.750 0.500
5 Cu 0.750 0.250 0.500

=====

Record 8
This record from the Alexandria database describes an optimized crystal structure of Tb3Y2Cu2. The functional is PBE.

Summary:
space-group type	C2/m, No. 12
ΔH_f (0 K)	-0.122	eV/atom

abc: 3.667 6.464 9.028
angles: 115.30 90.00 106.48
Sites, in units of the cell vectors:
1 Y 0.155 0.310 0.812
2 Y 0.845 0.690 0.188
3 Tb 0.614 0.229 0.443
4 Tb 0.500 0.000 0.000
5 Tb 0.386 0.771 0.557
6 Cu 0.831 0.662 0.772
7 Cu 0.169 0.338 0.228

=====

Record 9
This record from the Alexandria database describes an optimized crystal structure of Y2ZnFe. The functional is PBE.

Summary:
space-group type	Amm2, No. 38
ΔH_f (0 K)	-0.105	eV/atom

abc: 4.219 3.932 5.749
angles: 69.95 90.00 90.00
Sites, in units of the cell vectors:
1 Zn 0.000 0.690 0.496
2 Fe 0.500 0.559 0.757
3 Y 0.500 0.270 0.335
4 Y 0.000 0.981 0.912

=====

Record 10
This record from the Alexandria database describes an optimized crystal structure of K3H4S4. The functional is PBE.

Summary:
space-group type	Immm, No. 71
uncorrected energy	-37.32	eV for the cell shown

abc: 5.662 7.218 8.136
angles: 116.33 110.36 90.00
Sites, in units of the cell vectors:
1 H 0.574 0.724 0.148
2 H 0.574 0.425 0.148
3 H 0.426 0.276 0.852
4 H 0.426 0.575 0.852
5 K 0.189 0.189 0.378
6 K 0.000 0.500 0.000
7 K 0.811 0.811 0.622
8 S 0.225 0.725 0.450
9 S 0.500 0.223 0.000
10 S 0.775 0.275 0.550
11 S 0.500 0.777 0.000

=====

Record 11
This record from the Alexandria database describes an optimized crystal structure of Ce2Be4AlSi3. The functional is PBE.

Summary:
space-group type	P-4m2, No. 115
E_form (uncorrected)	-0.383	eV per atom

abc: 3.961 3.961 9.657
angles: 90.00 90.00 90.00
Sites, in units of the cell vectors:
1 Si 0.000 0.500 0.127
2 Si 0.500 0.000 0.873
3 Si 0.000 0.000 0.500
4 Be 0.500 0.500 0.000
5 Be 0.000 0.000 0.000
6 Be 0.000 0.500 0.363
7 Be 0.500 0.000 0.637
8 Ce 0.500 0.000 0.243
9 Ce 0.000 0.500 0.757
10 Al 0.500 0.500 0.500

=====

Record 12
This record from the Alexandria database describes an optimized crystal structure of BaTlIn2Co. The functional is PBE.

Summary:
space-group type	P4/mmm, No. 123
energy relative to the lowest polymorph listed for this composition	0.0000	eV/atom
ΔH_f (0 K)	-0.174	eV/atom

abc: 5.087 5.087 5.168
angles: 90.00 90.00 90.00
Sites, in units of the cell vectors:
1 In 0.500 0.000 0.000
2 In 0.000 0.500 0.000
3 Ba 0.500 0.500 0.500
4 Tl 0.000 0.000 0.500
5 Co 0.000 0.000 0.000